No. 1
Density functional theory data (PBE-GGA) for crystalline Rb7Cl3O2 at its relaxed geometry.

Cell lengths 5.4155, 5.5635, 14.0103 Å; angles 101.45, 90.00, 90.00 degrees
Sites, in units of the cell vectors:
Rb1 0.0000 0.4019 0.8038
Rb2 0.0000 0.8037 0.6074
Rb3 0.0000 0.0000 0.0000
Rb4 0.0000 0.5981 0.1962
Rb5 0.5000 0.0997 0.1993
Rb6 0.5000 0.9003 0.8007
Rb7 0.0000 0.1963 0.3926
Cl1 0.5000 0.5000 0.0000
Cl2 0.5000 0.6815 0.3630
Cl3 0.5000 0.3185 0.6370
O1 0.0000 0.8979 0.7958
O2 0.0000 0.1021 0.2042

## Properties
As for the formation energy from raw total energies: -16.62 eV/f.u. The total magnetization is 0.000 μB per atom. Its relative energy among the computed polymorphs is 24 meV per atom.

=====

No. 2
Density functional theory data (PBE-GGA) for crystalline Rb12Cl5O3 at its relaxed geometry.

Cell lengths 16.7191, 16.7191, 16.7191 Å; angles 109.47, 109.47, 109.47 degrees
Sites, in units of the cell vectors:
O1 0.7500 0.3750 0.1250
O2 0.8750 0.7500 0.1250
O3 0.3750 0.7500 0.6250
O4 0.2500 0.1250 0.3750
O5 0.8750 0.1250 0.2500
O6 0.3750 0.6250 0.2500
O7 0.6250 0.3750 0.7500
O8 0.1250 0.8750 0.7500
O9 0.7500 0.8750 0.6250
O10 0.6250 0.2500 0.3750
O11 0.1250 0.2500 0.8750
O12 0.2500 0.6250 0.8750
Cl1 0.1250 0.3750 0.2500
Cl2 0.0000 0.5000 0.0000
Cl3 0.0000 0.0000 0.0000
Cl4 0.3750 0.2500 0.1250
Cl5 0.5000 0.0000 0.5000
Cl6 0.5000 0.5000 0.0000
Cl7 0.1250 0.7500 0.3750
Cl8 0.7500 0.1250 0.8750
Cl9 0.7500 0.6250 0.3750
Cl10 0.3750 0.1250 0.7500
Cl11 0.6250 0.8750 0.2500
Cl12 0.5000 0.5000 0.5000
Cl13 0.5000 0.0000 0.0000
Cl14 0.0000 0.0000 0.5000
Cl15 0.2500 0.3750 0.6250
Cl16 0.2500 0.8750 0.1250
Cl17 0.0000 0.5000 0.5000
Cl18 0.8750 0.2500 0.6250
Cl19 0.6250 0.7500 0.8750
Cl20 0.8750 0.6250 0.7500
Rb1 0.6276 0.1925 0.9926
Rb2 0.3650 0.4926 0.3001
Rb3 0.0074 0.3075 0.3724
Rb4 0.4926 0.1276 0.1925
Rb5 0.4351 0.6276 0.6350
Rb6 0.0074 0.6999 0.1350
Rb7 0.3650 0.8724 0.5649
Rb8 0.1999 0.0649 0.1925
Rb9 0.6999 0.0074 0.6350
Rb10 0.6276 0.4351 0.1350
Rb11 0.8724 0.5074 0.3075
Rb12 0.8650 0.8001 0.9926
Rb13 0.1925 0.6276 0.4926
Rb14 0.3075 0.3001 0.9351
Rb15 0.9351 0.8001 0.3075
Rb16 0.5649 0.1925 0.6999
Rb17 0.9351 0.1350 0.1276
Rb18 0.5074 0.6350 0.1999
Rb19 0.8650 0.0649 0.3724
Rb20 0.1925 0.5649 0.1999
Rb21 0.3075 0.0074 0.8724
Rb22 0.6999 0.6925 0.5649
Rb23 0.8001 0.8650 0.4926
Rb24 0.8724 0.3650 0.0649
Rb25 0.3001 0.3075 0.4351
Rb26 0.1999 0.1350 0.5074
Rb27 0.1276 0.6350 0.9351
Rb28 0.1350 0.9351 0.6276
Rb29 0.6925 0.9926 0.1276
Rb30 0.8075 0.4351 0.8001
Rb31 0.4926 0.3650 0.8001
Rb32 0.4351 0.8075 0.3001
Rb33 0.0649 0.8650 0.8724
Rb34 0.0649 0.1999 0.6925
Rb35 0.8075 0.3724 0.5074
Rb36 0.1350 0.1999 0.0074
Rb37 0.6925 0.6999 0.0649
Rb38 0.3001 0.9926 0.3650
Rb39 0.3724 0.5649 0.8650
Rb40 0.1276 0.4926 0.6925
Rb41 0.8001 0.9351 0.8075
Rb42 0.6350 0.1276 0.4351
Rb43 0.5074 0.8724 0.8075
Rb44 0.9926 0.3001 0.8650
Rb45 0.5649 0.3724 0.3650
Rb46 0.9926 0.6925 0.6276
Rb47 0.6350 0.5074 0.6999
Rb48 0.3724 0.8075 0.0074

## Properties
As for the formation energy from raw total energies: -25.65 eV/f.u. The total magnetization is 0.000 μB per atom. Its relative energy among the computed polymorphs is 103 meV per atom.

=====

Which value of relative energy among the computed polymorphs does entry 1 give?
24 meV per atom